No. 1
Compound: AcLa8Tb4
Source: the Alexandria database
Functional: GGA-PBE
Structure: optimized geometry

a b c (Å): 8.001 8.001 8.001
angles (deg): 96.25 96.25 96.25
Atoms (fractional coordinates):
Ac 0.000 0.000 0.000
La 0.172 0.668 0.668
La 0.268 0.268 0.268
La 0.332 0.332 0.828
La 0.332 0.828 0.332
La 0.668 0.172 0.668
La 0.668 0.668 0.172
La 0.732 0.732 0.732
La 0.828 0.332 0.332
Tb 0.000 0.000 0.500
Tb 0.000 0.500 0.000
Tb 0.500 0.000 0.000
Tb 0.500 0.500 0.500

Output
Crystal system ... trigonal
Calculated formation energy ... 388 meV per atom

No. 2
Compound: Ac4TlOs
Source: the Alexandria database
Functional: GGA-PBE
Structure: optimized geometry

a b c (Å): 9.653 9.653 7.326
angles (deg): 110.52 110.52 116.25
Atoms (fractional coordinates):
Ac 0.062 0.638 0.871
Ac 0.179 0.273 0.632
Ac 0.273 0.179 0.132
Ac 0.362 0.938 0.629
Ac 0.638 0.062 0.371
Ac 0.727 0.821 0.868
Ac 0.821 0.727 0.368
Ac 0.938 0.362 0.129
Tl 0.387 0.613 0.250
Tl 0.613 0.387 0.750
Os 0.088 0.912 0.250
Os 0.912 0.088 0.750

Output
Crystal system ... monoclinic
Calculated formation energy ... -104 meV per atom

No. 3
Compound: Cs5GeTe4
Source: the Alexandria database
Functional: GGA-PBE
Structure: optimized geometry

a b c (Å): 10.977 11.659 9.124
angles (deg): 90.00 90.00 90.00
Atoms (fractional coordinates):
Cs 0.010 0.057 0.235
Cs 0.010 0.443 0.235
Cs 0.250 0.750 0.361
Cs 0.490 0.057 0.235
Cs 0.490 0.443 0.235
Cs 0.510 0.557 0.765
Cs 0.510 0.943 0.765
Cs 0.750 0.250 0.639
Cs 0.990 0.557 0.765
Cs 0.990 0.943 0.765
Ge 0.250 0.250 0.713
Ge 0.750 0.750 0.287
Te 0.038 0.250 0.884
Te 0.250 0.052 0.538
Te 0.250 0.448 0.538
Te 0.462 0.250 0.884
Te 0.538 0.750 0.116
Te 0.750 0.552 0.462
Te 0.750 0.948 0.462
Te 0.962 0.750 0.116

Output
Crystal system ... orthorhombic

No. 4
Compound: CeSmPaIn
Source: the Alexandria database
Functional: GGA-PBE
Structure: optimized geometry

a b c (Å): 5.349 5.349 5.349
angles (deg): 60.00 60.00 60.00
Atoms (fractional coordinates):
Ce 0.000 0.000 0.000
Sm 0.250 0.250 0.250
Pa 0.750 0.750 0.750
In 0.500 0.500 0.500

Output
Crystal system ... cubic
Calculated formation energy ... 113 meV per atom

No. 5
Compound: CsCa3As
Source: the Alexandria database
Functional: GGA-PBE
Structure: optimized geometry

a b c (Å): 5.980 5.980 5.980
angles (deg): 90.00 90.00 90.00
Atoms (fractional coordinates):
Cs 0.000 0.000 0.000
Ca 0.000 0.500 0.500
Ca 0.500 0.000 0.500
Ca 0.500 0.500 0.000
As 0.500 0.500 0.500

Output
Crystal system ... cubic
Calculated formation energy ... -314 meV per atom

No. 6
Compound: Sr2Mg3
Source: the Alexandria database
Functional: GGA-PBE
Structure: optimized geometry

a b c (Å): 9.824 6.617 10.855
angles (deg): 63.06 36.90 80.04
Atoms (fractional coordinates):
Sr 0.219 0.781 0.379
Sr 0.629 0.871 0.469
Sr 0.781 0.219 0.621
Sr 0.871 0.629 0.031
Mg 0.202 0.799 0.044
Mg 0.206 0.295 0.048
Mg 0.284 0.284 0.716
Mg 0.295 0.206 0.451
Mg 0.534 0.534 0.966
Mg 0.799 0.202 0.955

Output
Crystal system ... orthorhombic
Calculated formation energy ... -39 meV per atom

Number 1: E -4.385 eV per atom. Number 2: E -5.109 eV per atom. Number 3: E -2.937 eV per atom. Number 4: E -5.609 eV per atom. Number 5: E -2.615 eV per atom. Number 6: E -1.669 eV per atom.